Here is a geometry-optimized La2NiO4 structure from Alexandria. Energies are from PBE with a Hubbard U.

Lattice parameters (Å, degrees): 5.5194 5.6968 6.7955 90.00 66.04 90.00
Site moments in Bohr magnetons follow the coordinates.
Sites, in units of the cell vectors:
O  0.7686  0.2499  0.9628  0.07
O  0.7314  0.7499  0.0372  0.07
O  0.3206  0.4339  0.3586  0.04
O  0.6794  0.5661  0.6414  0.04
O  0.1794  0.9339  0.6414  0.04
O  0.2315  0.7501  0.0373  0.07
O  0.2685  0.2501  0.9628  0.07
O  0.8206  0.0661  0.3586  0.04
Ni  0.0000  0.0000  0.0000  1.77
Ni  0.5000  0.5000  0.0000  1.77
La  0.3629  0.0146  0.2744  0.00
La  0.6371  0.9854  0.7255  0.00
La  0.1372  0.5146  0.7255  0.00
La  0.8629  0.4854  0.2744  0.00

Relative energy among the computed polymorphs (meV/atom): 2
E (eV per atom): -7.332
Theoretical density (g cm⁻³): 6.81
Crystal system: orthorhombic